Record 1
## Cs2VAsF6 (PBE with a Hubbard U)

Data for a relaxed Cs2VAsF6 crystal.

Values from the calculation:
Calculated total energy ... -4.883 eV/atom
Crystal system ... tetragonal

abc: 7.0727 7.0727 8.3134
angles: 90.00 90.00 90.00
With the nearest neighbours (Å) after each atom.
Space group I4/mmm (No. 139)
Symmetry-distinct sites (fractional):
Cs (0.0000, 0.5000, 0.2500) (multiplicity 4)  12 F 3.30-3.54
V (0.0000, 0.0000, 0.0000) (multiplicity 2)  6 F 1.94-2.09
As (0.0000, 0.0000, 0.5000) (multiplicity 2)  2 F 2.07
F (0.0000, 0.0000, 0.2515) (multiplicity 4)  1 As 2.07, 1 V 2.09
F (0.1942, 0.1942, 0.0000) (multiplicity 8)  1 V 1.94

---

Record 2
## Cs2AsWF6 (PBE with a Hubbard U)

Data for a relaxed Cs2AsWF6 crystal.

Values from the calculation:
Calculated total energy ... -4.729 eV/atom
Crystal system ... tetragonal

abc: 6.0764 6.0764 11.8161
angles: 90.00 90.00 90.00
With the nearest neighbours (Å) after each atom.
Space group I4/mmm (No. 139)
Symmetry-distinct sites (fractional):
Cs (0.0000, 0.5000, 0.2500) (multiplicity 4)  4 F 3.16
As (0.0000, 0.0000, 0.0000) (multiplicity 2)  4 F 2.17
W (0.0000, 0.0000, 0.5000) (multiplicity 2)  6 F 2.10-2.12
F (0.0000, 0.0000, 0.3221) (multiplicity 4)  1 W 2.10
F (0.2471, 0.2471, 0.5000) (multiplicity 8)  1 W 2.12, 1 As 2.17

---

> Which value of calculated total energy does entry 1 give?

-4.883 eV/atom

---

> Number 2 is which compound?

Cs2AsWF6

---

> What is the formula in the first record?

Cs2VAsF6